(1)
La2InOs: optimized geometry, PBE.

For the formation energy, the calculation gives -16 meV/atom. The density of states at the Fermi level is 20.8 states/eV per cell. The crystal system is cubic. For the total magnetic moment, the calculation gives 0.000 μB/atom.

It has space group F-43m (No. 216), with a = 7.221 Å, b = 7.221 Å, c = 7.221 Å, α = 90.00°, β = 90.00° and γ = 90.00°. The inequivalent atoms are La at (0.000, 0.000, 0.000), La at (0.250, 0.250, 0.250), In at (0.000, 0.000, 0.500) and Os at (0.250, 0.250, 0.750).

=====

(2)
BaNpRu2O8: optimized geometry, PBE.

For the formation energy (no corrections), the calculation gives -19.7 eV per formula unit. The density of states at the Fermi level is 10.8 states/eV per cell. The crystal system is trigonal. For the total magnetic moment, the calculation gives 0.088 μB/atom.

It has space group P-3 (No. 147), with a = 5.8340 Å, b = 5.8340 Å, c = 7.5196 Å, α = 90.00°, β = 90.00° and γ = 120.00°. The inequivalent atoms are Ba at (0.0000, 0.0000, 0.0000), Np at (0.0000, 0.0000, 0.5000), Ru at (0.3333, 0.6667, 0.7773), O at (0.1429, 0.3237, 0.6819) and O at (0.3333, 0.6667, 0.0131).

=====

(3)
GeOsSN2: optimized geometry, PBE.

For the formation energy (no corrections), the calculation gives 3.1 eV per formula unit. The density of states at the Fermi level is 2.4 states/eV per cell. Its energy above the most stable polymorph in this dataset is 0.0 meV per atom. The crystal system is tetragonal. For the total magnetic moment, the calculation gives 0.064 μB/atom.

It has space group P4/mmm (No. 123), with a = 3.821 Å, b = 3.821 Å, c = 5.130 Å, α = 90.00°, β = 90.00° and γ = 90.00°. The inequivalent atoms are Ge at (0.000, 0.000, 0.000), Os at (0.500, 0.500, 0.500), S at (0.500, 0.500, 0.000) and N at (0.000, 0.500, 0.500).

=====

(4)
Sc3B2Ru5: optimized geometry, PBE.

For the formation energy, the calculation gives -522 meV/atom. The density of states at the Fermi level is 18.3 states/eV per cell. The crystal system is tetragonal. For the total magnetic moment, the calculation gives 0.000 μB/atom.

It has space group P4/mbm (No. 127), with a = 9.525 Å, b = 9.525 Å, c = 3.082 Å, α = 90.00°, β = 90.00° and γ = 90.00°. The inequivalent atoms are Sc at (0.000, 0.000, 0.000), Sc at (0.175, 0.325, 0.000), B at (0.123, 0.623, 0.000), Ru at (0.000, 0.500, 0.500) and Ru at (0.072, 0.779, 0.500).